[1]
The following is a PBE-GGA calculation of VInFeRh after structural relaxation, from the Alexandria database.

Computed properties:
Space group: No. 216
E_form in eV per atom: -0.064
Total DFT energy (no corrections) in eV per atom: -6.98

Lattice parameters (Å, degrees): 4.368 4.368 4.368 60.00 60.00 60.00
Atoms (fractional coordinates):
Rh1 0.000 0.000 0.000
Fe1 0.500 0.500 0.500
V1 0.750 0.750 0.750
In1 0.250 0.250 0.250

[2]
The following is a PBE-GGA calculation of Na2TbZr2S6 after structural relaxation, from the Alexandria database.

Computed properties:
Space group: No. 12
Total DFT energy (no corrections) in eV per atom: -6.09
Formation energy without anion corrections in eV/f.u.: -17.855

Lattice parameters (Å, degrees): 6.567 6.567 7.178 98.58 98.58 120.41
Atoms (fractional coordinates):
S1 0.420 0.070 0.720
Zr1 0.666 0.334 0.500
S2 0.724 0.724 0.721
Na1 0.836 0.164 0.000
S3 0.930 0.580 0.280
Tb1 0.000 0.000 0.500
S4 0.276 0.276 0.279
Na2 0.164 0.836 0.000
S5 0.070 0.420 0.720
Zr2 0.334 0.666 0.500
S6 0.580 0.930 0.280

[3]
The following is a PBE-GGA calculation of K3MnAu after structural relaxation, from the Alexandria database.

Computed properties:
Space group: No. 221
E_form in eV per atom: 0.471
Total DFT energy (no corrections) in eV per atom: -2.68
Energy above the most stable polymorph in this dataset in meV/atom: 0

Lattice parameters (Å, degrees): 6.325 6.325 6.325 90.00 90.00 90.00
Atoms (fractional coordinates):
K1 0.000 0.500 0.000
K2 0.500 0.000 0.000
Mn1 0.500 0.500 0.500
K3 0.000 0.000 0.500
Au1 0.000 0.000 0.000

[4]
The following is a PBE-GGA calculation of LiYOs2 after structural relaxation, from the Alexandria database.

Computed properties:
Space group: No. 44
E_form in eV per atom: 0.303
Total DFT energy (no corrections) in eV per atom: -7.41
Energy above the most stable polymorph in this dataset in meV/atom: 108

Lattice parameters (Å, degrees): 5.550 5.550 5.550 148.06 129.06 61.40
Atoms (fractional coordinates):
Li1 0.773 0.273 0.500
Os1 0.010 0.010 0.000
Os2 0.225 0.725 0.500
Y1 0.492 0.492 0.000

[5]
The following is a PBE-GGA calculation of Re3NiAs after structural relaxation, from the Alexandria database.

Computed properties:
Space group: No. 221
E_form in eV per atom: 1.879
Total DFT energy (no corrections) in eV per atom: -7.68

Lattice parameters (Å, degrees): 4.499 4.499 4.499 90.00 90.00 90.00
Atoms (fractional coordinates):
Re1 0.000 0.500 0.000
Re2 0.500 0.000 0.000
Ni1 0.500 0.500 0.500
Re3 0.000 0.000 0.500
As1 0.000 0.000 0.000

[6]
The following is a PBE-GGA calculation of FeSiTe2 after structural relaxation, from the Alexandria database.

Computed properties:
Space group: No. 216
Total DFT energy (no corrections) in eV per atom: -4.23
Formation energy without anion corrections in eV/f.u.: 3.231

Lattice parameters (Å, degrees): 4.929 4.929 4.929 60.00 60.00 60.00
Atoms (fractional coordinates):
Te1 0.750 0.750 0.750
Si1 0.250 0.250 0.250
Te2 0.000 0.000 0.000
Fe1 0.500 0.500 0.500

[7]
The following is a PBE-GGA calculation of Sc4RuCl after structural relaxation, from the Alexandria database.

Computed properties:
Space group: No. 216
Total DFT energy (no corrections) in eV per atom: -5.53
Formation energy without anion corrections in eV/f.u.: 3.265

Lattice parameters (Å, degrees): 5.695 5.695 5.695 60.00 60.00 60.00
Atoms (fractional coordinates):
Sc1 0.372 0.372 0.372
Ru1 0.000 0.000 0.000
Sc2 0.372 0.884 0.372
Sc3 0.884 0.372 0.372
Cl1 0.750 0.750 0.750
Sc4 0.372 0.372 0.884

[8]
The following is a PBE-GGA calculation of Pm3Dy2PuSe6 after structural relaxation, from the Alexandria database.

Computed properties:
Space group: No. 12
Total DFT energy (no corrections) in eV per atom: -6.67
Formation energy without anion corrections in eV/f.u.: -21.299

Lattice parameters (Å, degrees): 4.118 8.343 9.285 103.28 102.81 90.00
Atoms (fractional coordinates):
Se1 0.667 0.090 0.333
Se2 0.002 0.248 0.004
Pu1 0.500 0.000 0.000
Se3 0.670 0.577 0.341
Se4 0.333 0.910 0.667
Pm1 0.165 0.835 0.330
Se5 0.330 0.423 0.659
Dy1 0.164 0.329 0.328
Se6 0.998 0.752 0.996
Pm2 0.835 0.165 0.670
Dy2 0.836 0.671 0.672
Pm3 0.500 0.500 0.000

[9]
The following is a PBE-GGA calculation of CaTa2CuRu after structural relaxation, from the Alexandria database.

Computed properties:
Space group: No. 123
E_form in eV per atom: 2.559
Total DFT energy (no corrections) in eV per atom: -5.26

Lattice parameters (Å, degrees): 4.727 4.525 4.727 90.00 90.00 90.00
Atoms (fractional coordinates):
Ca1 0.000 0.000 0.000
Ta1 0.500 0.000 0.000
Ru1 0.000 0.500 0.000
Ta2 0.000 0.000 0.500
Cu1 0.500 0.500 0.500

[10]
The following is a PBE-GGA calculation of TlW2Au after structural relaxation, from the Alexandria database.

Computed properties:
Space group: No. 160
E_form in eV per atom: 0.650
Total DFT energy (no corrections) in eV per atom: -7.24
Energy above the most stable polymorph in this dataset in meV/atom: 141

Lattice parameters (Å, degrees): 10.306 10.306 10.306 16.23 16.23 16.23
Atoms (fractional coordinates):
W1 0.005 0.005 0.005
Au1 0.493 0.493 0.493
W2 0.749 0.749 0.749
Tl1 0.252 0.252 0.252

[11]
The following is a PBE-GGA calculation of AsBr2 after structural relaxation, from the Alexandria database.

Computed properties:
Space group: No. 191
Total DFT energy (no corrections) in eV per atom: -2.20
Formation energy without anion corrections in eV/f.u.: 1.409
Energy above the most stable polymorph in this dataset in meV/atom: 746

Lattice parameters (Å, degrees): 7.211 7.211 2.482 90.00 90.00 120.00
Atoms (fractional coordinates):
Br1 0.333 0.667 0.500
As1 0.000 0.000 0.000
Br2 0.667 0.333 0.500

[12]
The following is a PBE-GGA calculation of KMoS2 after structural relaxation, from the Alexandria database.

Computed properties:
Space group: No. 122
Total DFT energy (no corrections) in eV per atom: -5.65
Formation energy without anion corrections in eV/f.u.: -2.407

Lattice parameters (Å, degrees): 6.617 6.617 7.021 61.89 61.89 90.00
Atoms (fractional coordinates):
S1 0.375 0.260 0.750
Mo1 0.750 0.250 0.500
S2 0.740 0.125 0.250
S3 0.010 0.625 0.250
K1 0.500 0.500 0.000
K2 0.250 0.750 0.500
S4 0.875 0.990 0.750
Mo2 0.000 0.000 0.000

[13]
The following is a PBE-GGA calculation of CeTl2Cl2F4 after structural relaxation, from the Alexandria database.

Computed properties:
Space group: No. 139
Total DFT energy (no corrections) in eV per atom: -4.85
Formation energy without anion corrections in eV/f.u.: -21.773

Lattice parameters (Å, degrees): 6.981 6.981 6.981 85.75 122.48 122.48
Atoms (fractional coordinates):
Cl1 0.000 0.733 0.733
Cl2 0.000 0.267 0.267
F1 0.000 0.224 0.776
F2 0.553 0.776 0.776
Ce1 0.000 0.000 0.000
Tl1 0.500 0.250 0.750
Tl2 0.500 0.750 0.250
F3 0.000 0.776 0.224
F4 0.447 0.224 0.224

[14]
The following is a PBE-GGA calculation of CsTmTlCl6 after structural relaxation, from the Alexandria database.

Computed properties:
Space group: No. 149
Total DFT energy (no corrections) in eV per atom: -3.80
Formation energy without anion corrections in eV/f.u.: -15.446

Lattice parameters (Å, degrees): 7.276 7.277 7.531 90.00 90.00 60.00
Atoms (fractional coordinates):
Cl1 0.397 0.974 0.707
Cs1 0.000 0.000 0.000
Tl1 0.333 0.333 0.500
Tm1 0.667 0.667 0.500
Cl2 0.629 0.974 0.293
Cl3 0.397 0.629 0.293
Cl4 0.974 0.397 0.293
Cl5 0.629 0.397 0.707
Cl6 0.974 0.629 0.707

[15]
The following is a PBE-GGA calculation of GeP3Pt after structural relaxation, from the Alexandria database.

Computed properties:
Space group: No. 221
E_form in eV per atom: 0.847
Total DFT energy (no corrections) in eV per atom: -4.53
Energy above the most stable polymorph in this dataset in meV/atom: 0

Lattice parameters (Å, degrees): 4.726 4.726 4.726 90.00 90.00 90.00
Atoms (fractional coordinates):
Pt1 0.000 0.000 0.000
Ge1 0.500 0.500 0.500
P1 0.500 0.000 0.000
P2 0.000 0.000 0.500
P3 0.000 0.500 0.000

[16]
The following is a PBE-GGA calculation of BaLaCd2Rh after structural relaxation, from the Alexandria database.

Computed properties:
Space group: No. 123
E_form in eV per atom: -0.378
Total DFT energy (no corrections) in eV per atom: -3.58

Lattice parameters (Å, degrees): 5.514 5.514 5.152 90.00 90.00 90.00
Atoms (fractional coordinates):
Cd1 0.000 0.500 0.000
Cd2 0.500 0.000 0.000
Ba1 0.500 0.500 0.500
La1 0.000 0.000 0.500
Rh1 0.000 0.000 0.000

[17]
The following is a PBE-GGA calculation of NdTh3Sn5 after structural relaxation, from the Alexandria database.

Computed properties:
Space group: No. 193
E_form in eV per atom: -0.556
Total DFT energy (no corrections) in eV per atom: -5.78

Lattice parameters (Å, degrees): 6.452 9.659 9.659 120.00 90.00 90.00
Atoms (fractional coordinates):
Sn1 0.250 0.000 0.285
Nd1 0.500 0.000 0.000
Sn2 0.750 0.285 0.285
Nd2 0.000 0.000 0.000
Sn3 0.500 0.667 0.333
Sn4 0.500 0.333 0.667
Sn5 0.250 0.285 0.000
Sn6 0.750 0.715 0.000
Sn7 0.000 0.667 0.333
Sn8 0.750 0.000 0.715
Th1 0.250 0.000 0.617
Sn9 0.250 0.715 0.715
Sn10 0.000 0.333 0.667
Th2 0.750 0.617 0.617
Th3 0.750 0.000 0.383
Th4 0.750 0.383 0.000
Th5 0.250 0.617 0.000
Th6 0.250 0.383 0.383

[18]
The following is a PBE-GGA calculation of In3NiAg after structural relaxation, from the Alexandria database.

Computed properties:
Space group: No. 15
E_form in eV per atom: -0.025
Total DFT energy (no corrections) in eV per atom: -3.39
Energy above the most stable polymorph in this dataset in meV/atom: 0

Lattice parameters (Å, degrees): 4.489 9.920 9.920 86.90 76.86 76.86
Atoms (fractional coordinates):
In1 0.373 0.131 0.623
In2 0.873 0.623 0.131
Ni1 0.750 0.897 0.103
In3 0.141 0.697 0.520
In4 0.641 0.520 0.697
In5 0.627 0.869 0.377
In6 0.638 0.196 0.026
Ag1 0.503 0.824 0.671
In7 0.127 0.377 0.869
In8 0.138 0.026 0.196
In9 0.362 0.804 0.974
Ag2 0.997 0.329 0.176
Ag3 0.497 0.176 0.329
Ag4 0.003 0.671 0.824
Ni2 0.750 0.247 0.753
In10 0.359 0.480 0.303
In11 0.859 0.303 0.480
In12 0.862 0.974 0.804
Ni3 0.250 0.753 0.247
Ni4 0.250 0.103 0.897

[19]
The following is a PBE-GGA calculation of NaLa5Tl3 after structural relaxation, from the Alexandria database.

Computed properties:
Space group: No. 193
E_form in eV per atom: -0.279
Total DFT energy (no corrections) in eV per atom: -3.95

Lattice parameters (Å, degrees): 6.983 9.836 9.838 119.99 90.00 90.00
Atoms (fractional coordinates):
La1 0.000 0.333 0.666
Tl1 0.250 0.661 0.661
La2 0.250 0.324 0.324
La3 0.500 0.333 0.666
Na1 0.500 0.000 0.000
La4 0.750 0.324 0.000
Tl2 0.750 0.661 0.000
Tl3 0.250 0.000 0.339
Tl4 0.250 0.339 0.000
Tl5 0.750 0.339 0.339
Tl6 0.750 0.000 0.661
Na2 0.000 0.000 0.000
La5 0.000 0.667 0.334
La6 0.750 0.000 0.324
La7 0.250 0.676 0.000
La8 0.750 0.676 0.676
La9 0.500 0.667 0.334
La10 0.250 0.000 0.676

[20]
The following is a PBE-GGA calculation of NdThSn after structural relaxation, from the Alexandria database.

Computed properties:
Space group: No. 12
E_form in eV per atom: -0.506
Total DFT energy (no corrections) in eV per atom: -5.90
Energy above the most stable polymorph in this dataset in meV/atom: 27

Lattice parameters (Å, degrees): 4.637 4.637 8.935 90.04 89.96 90.00
Atoms (fractional coordinates):
Sn1 0.751 0.249 0.724
Nd1 0.251 0.749 0.644
Nd2 0.749 0.251 0.356
Sn2 0.249 0.751 0.276
Th1 0.750 0.750 0.000
Th2 0.250 0.250 0.000

Q: Which M_tot values were calculated for the entries above? A: 1.06; 0.00; 5.16; 0.00; 0.08; 2.73; 0.17; 5.95; 0.00; 0.00; 0.00; 0.00; 0.00; 0.00; 0.00; 0.00; 0.00; 0.00; 0.01; 0.42, in μB per formula unit.